# 1
Material: Na2TlIN
Method: DFT, PBE
State: relaxed

extended XYZ file:
```
5
Lattice="5.823 0.000 0.000 0.000 5.823 0.000 0.000 0.000 6.678" Properties=species:S:1:pos:R:3 pbc="T T T"
Na 0.000 2.912 0.000
Na 2.912 0.000 0.000
Tl 0.000 0.000 3.339
I 0.000 0.000 0.000
N 2.912 2.912 3.339
```

Calculated values
energy relative to the elements, uncorrected	0.80	eV/atom
Fermi-level density of states	3.3	states/eV/f.u.
total magnetic moment	1.03	μB/f.u.
space-group type	P4/mmm



# 2
Material: NaTlIN2
Method: DFT, PBE
State: relaxed

extended XYZ file:
```
5
Lattice="4.495 0.000 0.000 0.000 4.495 0.000 0.000 0.000 6.714" Properties=species:S:1:pos:R:3 pbc="T T T"
Na 0.000 0.000 0.000
Tl 2.247 2.247 3.357
I 2.247 2.247 0.000
N 0.000 2.247 3.357
N 2.247 0.000 3.357
```

Calculated values
energy relative to the elements, uncorrected	1.16	eV/atom
Fermi-level density of states	2.2	states/eV/f.u.
total magnetic moment	2.98	μB/f.u.
polymorph energy (0 for the lowest one)	0.0	meV per atom
space-group type	P4/mmm



# 3
Material: Na2UI2N2
Method: DFT, PBE
State: relaxed

extended XYZ file:
```
7
Lattice="-2.105 2.105 10.072 2.105 -2.105 10.072 2.105 2.105 -10.072" Properties=species:S:1:pos:R:3 pbc="T T T"
Na 0.000 0.000 1.842
Na 0.000 0.000 18.302
U 0.000 0.000 10.072
I 0.000 0.000 6.947
I 0.000 0.000 13.197
N 2.105 0.000 0.000
N 0.000 2.105 0.000
```

Calculated values
energy relative to the elements, uncorrected	-1.04	eV/atom
total magnetic moment	0.00	μB/f.u.
space-group type	I4/mmm



- Among the records above, which one has the lowest total magnetic moment?
  Na2UI2N2